[1]
Compound: CoTc4Pt
Source: Alexandria
Functional: PBE-GGA
Structure: optimized geometry Values from VASP.

Values from the calculation:
The value obtained for the density of states at the Fermi level is 1.161 states/eV per atom. The energy relative to the elements is 2.6 eV/f.u. Its space group is F-43m, No. 216. The uncorrected energy is -0.318 hartree per atom.

```
&SYSTEM
  ibrav = 0, nat = 6, ntyp = 3
/
ATOMIC_SPECIES
Co 58.93 Co.upf
Tc 98.00 Tc.upf
Pt 195.08 Pt.upf
CELL_PARAMETERS angstrom
0.000 3.572 3.572
3.572 0.000 3.572
3.572 3.572 0.000
ATOMIC_POSITIONS angstrom
Co 0.000 0.000 0.000
Tc 2.679 2.679 2.679
Tc 4.464 4.464 2.679
Tc 4.464 2.679 4.464
Tc 2.679 4.464 4.464
Pt 5.358 5.358 5.358
```


[2]
Compound: Co3TcPt
Source: Alexandria
Functional: PBE-GGA
Structure: optimized geometry Values from VASP.

Values from the calculation:
The value obtained for the density of states at the Fermi level is 1.931 states/eV per atom. The energy relative to the elements is 7.3 eV/f.u. Its space group is Pm-3m, No. 221. The uncorrected energy is -0.224 hartree per atom. For the offset from the most stable computed form, the calculation gives 0 meV per atom.

```
&SYSTEM
  ibrav = 0, nat = 5, ntyp = 3
/
ATOMIC_SPECIES
Co 58.93 Co.upf
Tc 98.00 Tc.upf
Pt 195.08 Pt.upf
CELL_PARAMETERS angstrom
4.327 0.000 0.000
0.000 4.327 0.000
0.000 0.000 4.327
ATOMIC_POSITIONS angstrom
Co 0.000 0.000 2.163
Co 0.000 2.163 0.000
Co 2.163 0.000 0.000
Tc 0.000 0.000 0.000
Pt 2.163 2.163 2.163
```


Values of V, in order: 91, 81, all in Å³/cell.